Entry from Alexandria via LeMat-Bulk: a relaxed Zr4Tc3Rh crystal (PBE-GGA). Values from VASP.

Calculated values
The value obtained for the energy relative to the elements is -0.52 eV per atom. For the density of states at the Fermi level, the calculation gives 5.7 states/eV/f.u. For the final energy, the calculation gives -9.60 eV per atom.

The structure in Quantum ESPRESSO input format:
```
&SYSTEM
  ibrav = 0, nat = 8, ntyp = 3
/
ATOMIC_SPECIES
Zr 91.22 Zr.upf
Tc 98.00 Tc.upf
Rh 102.91 Rh.upf
CELL_PARAMETERS angstrom
3.2964 0.0000 0.0000
0.0000 4.6682 0.0000
0.0000 0.0000 9.2914
ATOMIC_POSITIONS crystal
Zr 0.0000 0.0000 0.0000
Zr 0.0000 0.0000 0.5000
Zr 0.0000 0.5000 0.2464
Zr 0.0000 0.5000 0.7536
Tc 0.5000 0.0000 0.2534
Tc 0.5000 0.0000 0.7466
Tc 0.5000 0.5000 0.0000
Rh 0.5000 0.5000 0.5000
```


Entry from Alexandria via LeMat-Bulk: a relaxed NaTlCu2Cl8 crystal (PBE-GGA). Values from VASP.

Calculated values
For the density of states at the Fermi level, the calculation gives 8.6 states/eV/f.u. The value obtained for the formation energy from raw total energies is -0.647 eV per atom. For the final energy, the calculation gives -2.87 eV per atom.

The structure in Quantum ESPRESSO input format:
```
&SYSTEM
  ibrav = 0, nat = 12, ntyp = 4
/
ATOMIC_SPECIES
Na 22.99 Na.upf
Tl 204.38 Tl.upf
Cu 63.55 Cu.upf
Cl 35.45 Cl.upf
CELL_PARAMETERS angstrom
-4.4250 4.4250 4.0555
4.4250 -4.4250 4.0555
4.4250 4.4250 -4.0555
ATOMIC_POSITIONS crystal
Na 0.0000 0.0000 0.0000
Tl 0.7500 0.2500 0.5000
Cu 0.2500 0.7500 0.5000
Cu 0.5000 0.5000 0.0000
Cl 0.0591 0.3790 0.3199
Cl 0.0591 0.7392 0.6801
Cl 0.1249 0.3140 0.8109
Cl 0.2608 0.9409 0.3199
Cl 0.5031 0.3140 0.1891
Cl 0.6210 0.9409 0.6801
Cl 0.6860 0.4969 0.8109
Cl 0.6860 0.8751 0.1891
```


Entry from Alexandria via LeMat-Bulk: a relaxed Li2Tl6Pb crystal (PBE-GGA). Values from VASP.

Calculated values
The value obtained for the energy relative to the elements is -0.05 eV per atom. As for the energy above the most stable polymorph in this dataset: 0.025 eV per atom. For the density of states at the Fermi level, the calculation gives 3.8 states/eV/f.u. For the final energy, the calculation gives -2.47 eV per atom.

The structure in Quantum ESPRESSO input format:
```
&SYSTEM
  ibrav = 0, nat = 9, ntyp = 3
/
ATOMIC_SPECIES
Li 6.94 Li.upf
Tl 204.38 Tl.upf
Pb 207.20 Pb.upf
CELL_PARAMETERS angstrom
7.6469 -1.6785 0.0000
7.6469 1.6785 0.0000
-4.8710 0.0000 9.6602
ATOMIC_POSITIONS crystal
Li 0.1290 0.1290 0.2518
Li 0.8710 0.8710 0.7482
Tl 0.1704 0.1704 0.5512
Tl 0.2635 0.2635 0.8818
Tl 0.4648 0.4648 0.2983
Tl 0.5352 0.5352 0.7017
Tl 0.7365 0.7365 0.1182
Tl 0.8296 0.8296 0.4488
Pb 0.5000 0.5000 0.0000
```


Entry from Alexandria via LeMat-Bulk: a relaxed TeS3Cl crystal (PBE-GGA). Values from VASP.

Calculated values
As for the energy above the most stable polymorph in this dataset: 1.072 eV per atom. For the density of states at the Fermi level, the calculation gives 4.4 states/eV/f.u. The value obtained for the formation energy from raw total energies is 1.066 eV per atom. For the final energy, the calculation gives -2.41 eV per atom.

The structure in Quantum ESPRESSO input format:
```
&SYSTEM
  ibrav = 0, nat = 5, ntyp = 3
/
ATOMIC_SPECIES
Te 127.60 Te.upf
S 32.06 S.upf
Cl 35.45 Cl.upf
CELL_PARAMETERS angstrom
4.7193 0.0000 0.0000
0.0000 4.7193 0.0000
0.0000 0.0000 4.7193
ATOMIC_POSITIONS crystal
Te 0.0000 0.0000 0.0000
S 0.0000 0.5000 0.5000
S 0.5000 0.0000 0.5000
S 0.5000 0.5000 0.0000
Cl 0.5000 0.5000 0.5000
```


Entry from Alexandria via LeMat-Bulk: a relaxed Pr7InAg4 crystal (PBE-GGA). Values from VASP.

Calculated values
The value obtained for the energy relative to the elements is -0.09 eV per atom. For the density of states at the Fermi level, the calculation gives 14.0 states/eV/f.u. For the final energy, the calculation gives -4.05 eV per atom.

The structure in Quantum ESPRESSO input format:
```
&SYSTEM
  ibrav = 0, nat = 12, ntyp = 3
/
ATOMIC_SPECIES
Pr 140.91 Pr.upf
In 114.82 In.upf
Ag 107.87 Ag.upf
CELL_PARAMETERS angstrom
7.4118 -2.9511 0.0000
7.4118 2.9511 0.0000
-4.9622 0.0000 8.1422
ATOMIC_POSITIONS crystal
Pr 0.0000 0.0000 0.0000
Pr 0.2245 0.2245 0.6881
Pr 0.3122 0.3122 0.1069
Pr 0.4272 0.4272 0.5972
Pr 0.5728 0.5728 0.4028
Pr 0.6878 0.6878 0.8931
Pr 0.7755 0.7755 0.3119
In 0.5000 0.5000 0.0000
Ag 0.0217 0.0217 0.6828
Ag 0.1892 0.1892 0.3428
Ag 0.8108 0.8108 0.6572
Ag 0.9783 0.9783 0.3172
```


Entry from Alexandria via LeMat-Bulk: a relaxed KLiF3 crystal (PBE-GGA). Values from VASP.

Calculated values
As for the energy above the most stable polymorph in this dataset: 0.060 eV per atom. For the density of states at the Fermi level, the calculation gives 0.0 states/eV/f.u. The value obtained for the formation energy from raw total energies is -2.243 eV per atom. For the final energy, the calculation gives -3.97 eV per atom.

The structure in Quantum ESPRESSO input format:
```
&SYSTEM
  ibrav = 0, nat = 10, ntyp = 3
/
ATOMIC_SPECIES
K 39.10 K.upf
Li 6.94 Li.upf
F 19.00 F.upf
CELL_PARAMETERS angstrom
3.3680 0.0000 0.0000
0.0000 7.0604 0.0000
-1.3162 0.0000 6.4512
ATOMIC_POSITIONS crystal
K 0.2030 0.2500 0.2110
K 0.7970 0.7500 0.7890
Li 0.3802 0.2500 0.6954
Li 0.6198 0.7500 0.3046
F 0.1755 0.7500 0.4420
F 0.3132 0.0377 0.8626
F 0.3132 0.4623 0.8626
F 0.6868 0.5377 0.1374
F 0.6868 0.9623 0.1374
F 0.8245 0.2500 0.5580
```


Entry from Alexandria via LeMat-Bulk: a relaxed Pm3Sm6Y2Tl crystal (PBE-GGA). Values from VASP.

Calculated values
The value obtained for the energy relative to the elements is -0.01 eV per atom. For the density of states at the Fermi level, the calculation gives 16.0 states/eV/f.u. For the final energy, the calculation gives -4.83 eV per atom.

The structure in Quantum ESPRESSO input format:
```
&SYSTEM
  ibrav = 0, nat = 12, ntyp = 4
/
ATOMIC_SPECIES
Pm 145.00 Pm.upf
Sm 150.36 Sm.upf
Y 88.91 Y.upf
Tl 204.38 Tl.upf
CELL_PARAMETERS angstrom
3.1092 -5.4034 0.0000
3.1092 5.4034 0.0000
-2.1214 0.0000 11.6616
ATOMIC_POSITIONS crystal
Pm 0.0000 0.0000 0.0000
Pm 0.3316 0.6684 0.0000
Pm 0.6684 0.3316 0.0000
Sm 0.0929 0.4198 0.2549
Sm 0.2537 0.2537 0.7474
Sm 0.4198 0.0929 0.2549
Sm 0.5802 0.9071 0.7451
Sm 0.7463 0.7463 0.2526
Sm 0.9071 0.5802 0.7451
Y 0.1659 0.8341 0.5000
Y 0.8341 0.1659 0.5000
Tl 0.5000 0.5000 0.5000
```


Entry from Alexandria via LeMat-Bulk: a relaxed PmTaPt2 crystal (PBE-GGA). Values from VASP.

Calculated values
The value obtained for the energy relative to the elements is -0.70 eV per atom. For the density of states at the Fermi level, the calculation gives 4.2 states/eV/f.u. For the final energy, the calculation gives -7.87 eV per atom.

The structure in Quantum ESPRESSO input format:
```
&SYSTEM
  ibrav = 0, nat = 4, ntyp = 3
/
ATOMIC_SPECIES
Pm 145.00 Pm.upf
Ta 180.95 Ta.upf
Pt 195.08 Pt.upf
CELL_PARAMETERS angstrom
3.3186 0.0000 0.0000
0.0000 3.3186 0.0000
0.0000 0.0000 7.2724
ATOMIC_POSITIONS crystal
Pm 0.0000 0.0000 0.0000
Ta 0.0000 0.0000 0.5000
Pt 0.5000 0.5000 0.3013
Pt 0.5000 0.5000 0.6987
```


Entry from Alexandria via LeMat-Bulk: a relaxed NaTmSiS4 crystal (PBE-GGA). Values from VASP.

Calculated values
For the density of states at the Fermi level, the calculation gives 0.0 states/eV/f.u. The value obtained for the formation energy from raw total energies is -1.323 eV per atom. For the final energy, the calculation gives -5.28 eV per atom.

The structure in Quantum ESPRESSO input format:
```
&SYSTEM
  ibrav = 0, nat = 14, ntyp = 4
/
ATOMIC_SPECIES
Na 22.99 Na.upf
Tm 168.93 Tm.upf
Si 28.09 Si.upf
S 32.06 S.upf
CELL_PARAMETERS angstrom
6.3390 0.0000 0.0000
0.0000 6.5878 0.0000
-2.1650 0.0000 7.6256
ATOMIC_POSITIONS crystal
Na 0.2486 0.2500 0.4376
Na 0.7514 0.7500 0.5624
Tm 0.2777 0.2500 0.9470
Tm 0.7223 0.7500 0.0530
Si 0.2602 0.7500 0.1808
Si 0.7398 0.2500 0.8192
S 0.0565 0.7500 0.3493
S 0.0714 0.7500 0.9152
S 0.4879 0.5015 0.2253
S 0.4879 0.9985 0.2253
S 0.5121 0.0015 0.7747
S 0.5121 0.4985 0.7747
S 0.9286 0.2500 0.0848
S 0.9435 0.2500 0.6507
```


Entry from Alexandria via LeMat-Bulk: a relaxed Pr10Y4Tm crystal (PBE-GGA). Values from VASP.

Calculated values
The value obtained for the energy relative to the elements is 0.30 eV per atom. For the density of states at the Fermi level, the calculation gives 19.9 states/eV/f.u. For the final energy, the calculation gives -4.91 eV per atom.

The structure in Quantum ESPRESSO input format:
```
&SYSTEM
  ibrav = 0, nat = 15, ntyp = 3
/
ATOMIC_SPECIES
Pr 140.91 Pr.upf
Y 88.91 Y.upf
Tm 168.93 Tm.upf
CELL_PARAMETERS angstrom
-4.9935 4.9935 5.3367
4.9935 -4.9935 5.3367
4.9935 4.9935 -5.3367
ATOMIC_POSITIONS crystal
Pr 0.0453 0.3713 0.0982
Pr 0.0529 0.9547 0.3260
Pr 0.2500 0.7500 0.5000
Pr 0.2731 0.9471 0.9018
Pr 0.3713 0.2731 0.3260
Pr 0.6287 0.7269 0.6740
Pr 0.7269 0.0529 0.0982
Pr 0.7500 0.2500 0.5000
Pr 0.9471 0.0453 0.6740
Pr 0.9547 0.6287 0.9018
Y 0.1706 0.4406 0.6111
Y 0.4406 0.8294 0.2700
Y 0.5594 0.1706 0.7300
Y 0.8294 0.5594 0.3889
Tm 0.5000 0.5000 0.0000
```


Entry from Alexandria via LeMat-Bulk: a relaxed Li8DyAu6 crystal (PBE-GGA). Values from VASP.

Calculated values
The value obtained for the energy relative to the elements is -0.46 eV per atom. For the density of states at the Fermi level, the calculation gives 5.7 states/eV/f.u. For the final energy, the calculation gives -3.10 eV per atom.

The structure in Quantum ESPRESSO input format:
```
&SYSTEM
  ibrav = 0, nat = 15, ntyp = 3
/
ATOMIC_SPECIES
Li 6.94 Li.upf
Dy 162.50 Dy.upf
Au 196.97 Au.upf
CELL_PARAMETERS angstrom
4.0046 2.3121 5.3234
-4.0046 2.3121 5.3234
0.0000 -4.6241 5.3234
ATOMIC_POSITIONS crystal
Li 0.0177 0.7173 0.3997
Li 0.1591 0.1591 0.1591
Li 0.2827 0.6003 0.9823
Li 0.3997 0.0177 0.7173
Li 0.6003 0.9822 0.2827
Li 0.7173 0.3997 0.0177
Li 0.8409 0.8409 0.8409
Li 0.9823 0.2827 0.6003
Dy 0.5000 0.5000 0.5000
Au 0.1057 0.4560 0.7951
Au 0.2049 0.8943 0.5440
Au 0.4560 0.7950 0.1057
Au 0.5440 0.2049 0.8943
Au 0.7951 0.1057 0.4560
Au 0.8943 0.5440 0.2049
```


Entry from Alexandria via LeMat-Bulk: a relaxed Ac3HgH2 crystal (PBE-GGA). Values from VASP.

Calculated values
For the density of states at the Fermi level, the calculation gives 4.9 states/eV/f.u. For the final energy, the calculation gives -3.56 eV per atom.

The structure in Quantum ESPRESSO input format:
```
&SYSTEM
  ibrav = 0, nat = 12, ntyp = 3
/
ATOMIC_SPECIES
Ac 227.00 Ac.upf
Hg 200.59 Hg.upf
H 1.01 H.upf
CELL_PARAMETERS angstrom
4.9567 -6.5139 0.0000
4.9567 6.5139 0.0000
0.0000 0.0000 5.2116
ATOMIC_POSITIONS crystal
Ac 0.1086 0.8914 0.7500
Ac 0.1805 0.4197 0.7500
Ac 0.4197 0.1805 0.2500
Ac 0.5803 0.8195 0.7500
Ac 0.8195 0.5803 0.2500
Ac 0.8914 0.1086 0.2500
Hg 0.2964 0.7036 0.2500
Hg 0.7036 0.2964 0.7500
H 0.1573 0.1573 0.0000
H 0.1573 0.1573 0.5000
H 0.8427 0.8427 0.0000
H 0.8427 0.8427 0.5000
```


Entry from Alexandria via LeMat-Bulk: a relaxed La2TmGa crystal (PBE-GGA). Values from VASP.

Calculated values
The value obtained for the energy relative to the elements is -0.12 eV per atom. As for the energy above the most stable polymorph in this dataset: 0.115 eV per atom. For the density of states at the Fermi level, the calculation gives 6.3 states/eV/f.u. For the final energy, the calculation gives -4.46 eV per atom.

The structure in Quantum ESPRESSO input format:
```
&SYSTEM
  ibrav = 0, nat = 4, ntyp = 3
/
ATOMIC_SPECIES
La 138.91 La.upf
Tm 168.93 Tm.upf
Ga 69.72 Ga.upf
CELL_PARAMETERS angstrom
1.8645 1.0765 10.5974
-1.8645 1.0765 10.5974
0.0000 -2.1529 10.5974
ATOMIC_POSITIONS crystal
La 0.0000 0.0000 0.0000
La 0.1864 0.1864 0.1864
Tm 0.7598 0.7598 0.7598
Ga 0.5932 0.5932 0.5932
```


Entry from Alexandria via LeMat-Bulk: a relaxed NbHgH2 crystal (PBE-GGA). Values from VASP.

Calculated values
As for the energy above the most stable polymorph in this dataset: 0.436 eV per atom. For the density of states at the Fermi level, the calculation gives 3.0 states/eV/f.u. For the final energy, the calculation gives -3.55 eV per atom.

The structure in Quantum ESPRESSO input format:
```
&SYSTEM
  ibrav = 0, nat = 4, ntyp = 3
/
ATOMIC_SPECIES
Nb 92.91 Nb.upf
Hg 200.59 Hg.upf
H 1.01 H.upf
CELL_PARAMETERS angstrom
0.0000 2.8422 2.8422
2.8422 0.0000 2.8422
2.8422 2.8422 0.0000
ATOMIC_POSITIONS crystal
Nb 0.0000 0.0000 0.0000
Hg 0.5000 0.5000 0.5000
H 0.2500 0.2500 0.2500
H 0.7500 0.7500 0.7500
```


Entry from Alexandria via LeMat-Bulk: a relaxed Pr3AsI7 crystal (PBE-GGA). Values from VASP.

Calculated values
For the density of states at the Fermi level, the calculation gives 0.3 states/eV/f.u. The value obtained for the formation energy from raw total energies is -1.226 eV per atom. For the final energy, the calculation gives -3.94 eV per atom.

The structure in Quantum ESPRESSO input format:
```
&SYSTEM
  ibrav = 0, nat = 11, ntyp = 3
/
ATOMIC_SPECIES
Pr 140.91 Pr.upf
As 74.92 As.upf
I 126.90 I.upf
CELL_PARAMETERS angstrom
9.2248 0.0000 0.0000
-4.6124 7.9889 0.0000
0.0000 0.0000 7.4443
ATOMIC_POSITIONS crystal
Pr 0.0086 0.5043 0.0000
Pr 0.4957 0.5043 0.0000
Pr 0.4957 0.9914 0.0000
As 0.3333 0.6667 0.8189
I 0.1729 0.3459 0.2495
I 0.1729 0.8271 0.2495
I 0.3423 0.1711 0.7702
I 0.6541 0.8271 0.2495
I 0.6667 0.3333 0.2549
I 0.8289 0.1711 0.7702
I 0.8289 0.6577 0.7702
```


Entry from Alexandria via LeMat-Bulk: a relaxed PmDy2S crystal (PBE-GGA). Values from VASP.

Calculated values
For the density of states at the Fermi level, the calculation gives 5.5 states/eV/f.u. The value obtained for the formation energy from raw total energies is -0.749 eV per atom. For the final energy, the calculation gives -5.27 eV per atom.

The structure in Quantum ESPRESSO input format:
```
&SYSTEM
  ibrav = 0, nat = 4, ntyp = 3
/
ATOMIC_SPECIES
Pm 145.00 Pm.upf
Dy 162.50 Dy.upf
S 32.06 S.upf
CELL_PARAMETERS angstrom
1.8322 1.0578 10.1610
-1.8322 1.0578 10.1610
0.0000 -2.1156 10.1610
ATOMIC_POSITIONS crystal
Pm 0.0000 0.0000 0.0000
Dy 0.1128 0.1128 0.1128
Dy 0.8872 0.8872 0.8872
S 0.5000 0.5000 0.5000
```